La3As4Pd4: relaxed, PBE.

CIF file:
```
data_La3As4Pd4
_chemical_formula_sum 'La3 As4 Pd4'
_space_group_name_H-M_alt 'P 1'
_space_group_IT_number 1
_cell_length_a 13.103
_cell_length_b 13.103
_cell_length_c 13.103
_cell_angle_alpha 161.36
_cell_angle_beta 160.79
_cell_angle_gamma 26.90
loop_
_space_group_symop_operation_xyz
'x,y,z'
loop_
_atom_site_label
_atom_site_fract_x
_atom_site_fract_y
_atom_site_fract_z
La1 0.000 0.000 0.000
La2 0.348 0.848 0.500
La3 0.652 0.152 0.500
As1 0.193 0.693 0.500
As2 0.449 0.449 0.000
As3 0.551 0.551 0.000
As4 0.807 0.307 0.500
Pd1 0.095 0.595 0.500
Pd2 0.252 0.252 0.000
Pd3 0.748 0.748 0.000
Pd4 0.905 0.405 0.500
```

Summary:
Final energy: -0.4416 Ry per atom
Energy of formation from the pure elements: -11.9 eV per formula unit
DOS(E_F): 0.4905 states/eV/atom
Symmetry: Immm, No. 71